VASP calculation (PBE) on a geometry-optimized Lu4TlC3 structure.

- Space-group type: P6_3/mmc, No. 194
- Calculated total energy: -101.2 eV for the cell shown
- Magnetization: 0.00 μB/cell

Structure (POSCAR):
```
Lu4TlC3
1.0
-3.0122 -0.7472 1.5907
3.0244 -0.9244 1.4700
0.9854 24.4735 13.3622
Lu C Tl
8 6 2
Cartesian
-0.4568 12.6839 8.9159 Lu
0.8396 20.8529 11.3854 Lu
-0.0650 22.4138 14.2283 Lu
0.6385 15.8573 8.6579 Lu
0.3469 8.6162 4.7043 Lu
1.0627 0.3881 2.1946 Lu
1.4545 10.1180 7.5070 Lu
0.1458 3.6206 1.9768 Lu
0.4927 12.2368 6.6811 C
1.8916 20.9736 13.4340 C
-0.6134 8.7959 6.7931 C
1.6110 14.0060 9.6297 C
0.0000 0.0000 0.0000 C
-0.8939 1.8283 2.9889 C
-0.2609 17.5489 11.5721 Tl
1.2586 5.2531 4.8508 Tl
```

=====

VASP calculation (PBE) on a geometry-optimized NaHfAuSe3 structure.

- Space-group type: Pnma, No. 62
- Calculated total energy: -120.7 eV for the cell shown
- Magnetization: 0.01 μB/cell
- Offset from the most stable computed form: 0.0985 eV per atom

Structure (POSCAR):
```
NaHfAuSe3
1.0
-0.8271 0.3807 3.7755
11.5071 -2.0016 2.7227
2.2370 11.8953 -0.7094
Au Se Na Hf
4 12 4 4
Cartesian
2.9968 3.4389 3.3061 Au
9.9201 6.8355 2.4827 Au
8.4913 1.0602 4.7496 Au
4.4257 9.2142 1.0392 Au
5.5045 3.2931 3.8702 Se
10.8932 0.3520 5.3472 Se
6.7284 10.2453 1.4397 Se
6.1885 0.0292 4.3491 Se
3.8181 7.4575 3.0808 Se
9.0989 2.8169 2.7081 Se
10.0339 8.9149 4.2955 Se
1.2155 5.1804 2.7402 Se
2.8831 1.3595 1.4933 Se
2.0238 9.9224 0.4416 Se
7.4125 6.9813 1.9187 Se
11.7015 5.0940 3.0486 Se
3.4522 11.6962 2.5732 Na
9.4647 -1.4218 3.2156 Na
8.1475 5.0680 4.2702 Na
4.7695 5.2064 1.5186 Na
5.3233 1.2505 2.0389 Hf
11.4243 2.0970 3.2901 Hf
1.4927 8.1775 2.4987 Hf
7.5936 9.0239 3.7499 Hf
```

=====

VASP calculation (PBE) on a geometry-optimized Ho structure.

- DFT formation energy: 0.0030 eV/atom
- Space-group type: P6_3/mmc, No. 194
- Calculated total energy: -9.1 eV for the cell shown
- Magnetization: 0.05 μB/cell
- Offset from the most stable computed form: 0.0030 eV per atom

Structure (POSCAR):
```
Ho
1.0
-1.3193 1.7526 -2.8365
-2.1347 -0.7918 2.7701
1.3063 4.8618 2.3965
Ho
2
Cartesian
-1.5361 1.2718 1.5003 Ho
-0.6115 4.5509 0.8298 Ho
```